{"formula": "MnBIF2", "functional": "PBE with a Hubbard U", "state": "relaxed", "lattice": [[-1.3542, 0.9476, -3.5412], [1.1973, -5.3286, -1.8838], [-3.5753, -1.1755, 1.0527]], "species": ["I", "B", "Mn", "F", "F"], "fractional_positions": [[0.5000, 0.5000, 0.5000], [0.0000, 0.5000, 0.0000], [0.0000, 0.0000, 0.0000], [0.0000, 0.0000, 0.5000], [0.5000, 0.0000, 0.0000]], "energy_ev_per_atom": -4.5852, "mass_density_g_cm3": 4.341}